A geometry-optimized KZnOs structure. Source: Alexandria, functional PBE-GGA.

Lattice parameters (Å, degrees): 8.3875 8.1896 2.7573 84.51 76.39 19.10
Closest atoms and distances in Å follow each position.
Sites, in units of the cell vectors:
K 0.9955 0.9955 0.0045  6 K 2.76-2.94
Os 0.3208 0.3208 0.6792  2 Zn 2.65, 6 Os 2.76-2.94
Zn 0.6837 0.6837 0.3163  2 Os 2.65, 6 Zn 2.76-2.94

calculated volume = 18.42 Å³ per atom
final energy = -11.1 eV per formula unit
crystal system = orthorhombic
space-group type = Fmm2 (42)
energy relative to the lowest polymorph listed for this composition = 166 meV per atom

***

A geometry-optimized KZn4Os structure. Source: Alexandria, functional PBE-GGA.

Lattice parameters (Å, degrees): 5.2380 5.2380 5.2380 60.00 60.00 60.00
Closest atoms and distances in Å follow each position.
Sites, in units of the cell vectors:
K 0.7500 0.7500 0.7500  12 Zn 3.08, 4 Os 3.21
Zn 0.3732 0.8803 0.3732  6 Zn 2.58-2.66
Zn 0.8803 0.3732 0.3732  6 Zn 2.58-2.66
Zn 0.3732 0.3732 0.8803  6 Zn 2.58-2.66
Zn 0.3732 0.3732 0.3732  6 Zn 2.58-2.66
Os 0.0000 0.0000 0.0000  12 Zn 3.07, 4 K 3.21

calculated volume = 16.94 Å³ per atom
final energy = -14.1 eV per formula unit
crystal system = cubic
space-group type = F-43m (216)

***

A geometry-optimized KZnOs2 structure. Source: Alexandria, functional PBE-GGA.

Lattice parameters (Å, degrees): 2.6662 2.6662 9.7591 90.00 90.00 90.00
Closest atoms and distances in Å follow each position.
Sites, in units of the cell vectors:
K 0.5000 0.5000 0.7500  4 K 2.67
Os 0.0000 0.0000 0.0432  4 Os 2.67, 4 Zn 2.76
Os 0.0000 0.0000 0.4568  4 Os 2.67, 4 Zn 2.76
Zn 0.5000 0.5000 0.2500  4 Zn 2.67, 8 Os 2.76

calculated volume = 17.34 Å³ per atom
final energy = -21.0 eV per formula unit
crystal system = tetragonal
space-group type = P4/mmm (123)

***

A geometry-optimized K2ZnOs structure. Source: Alexandria, functional PBE-GGA.

Lattice parameters (Å, degrees): 11.9406 11.9406 11.9406 14.73 14.73 14.73
Closest atoms and distances in Å follow each position.
Sites, in units of the cell vectors:
K 0.0155 0.0155 0.0155  6 K 3.06, 3 Zn 3.42
K 0.2319 0.2319 0.2319  6 K 3.06, 3 Os 3.27
Os 0.4877 0.4877 0.4877  3 Zn 2.66
Zn 0.7648 0.7648 0.7648  3 Os 2.66

calculated volume = 23.97 Å³ per atom
final energy = -10.6 eV per formula unit
crystal system = trigonal
space-group type = R3m (160)

***

A geometry-optimized KZnOs structure. Source: Alexandria, functional PBE-GGA.

Lattice parameters (Å, degrees): 2.8129 2.8129 8.0397 90.00 90.00 120.00
Closest atoms and distances in Å follow each position.
Sites, in units of the cell vectors:
K 0.0000 0.0000 0.0075  6 K 2.81
Os 0.6667 0.3333 0.3608  3 Zn 2.72, 6 Os 2.81
Zn 0.3333 0.6667 0.6317  3 Os 2.72, 6 Zn 2.81

calculated volume = 18.36 Å³ per atom
final energy = -11.1 eV per formula unit
crystal system = trigonal
space-group type = P3m1 (156)
energy relative to the lowest polymorph listed for this composition = 149 meV per atom

***

A geometry-optimized K4ZnOs structure. Source: Alexandria, functional PBE-GGA.

Lattice parameters (Å, degrees): 6.9343 6.9343 6.9343 60.00 60.00 60.00
Closest atoms and distances in Å follow each position.
Sites, in units of the cell vectors:
K 0.8710 0.3763 0.3763  6 K 3.43-3.50
K 0.3763 0.3763 0.8710  6 K 3.43-3.50
K 0.3763 0.8710 0.3763  6 K 3.43-3.50
K 0.3763 0.3763 0.3763  6 K 3.43-3.50
Zn 0.0000 0.0000 0.0000  12 K 4.07, 4 Os 4.25
Os 0.7500 0.7500 0.7500  12 K 4.06, 4 Zn 4.25

calculated volume = 39.29 Å³ per atom
final energy = -9.3 eV per formula unit
crystal system = cubic
space-group type = F-43m (216)

***

Q: Which of these has the lowest calculated volume?
A: KZn4Os

***

Q: Number 4 is which compound?
A: K2ZnOs

***

Q: Which of these has the highest calculated volume?
A: K4ZnOs

***

Q: The highest final energy belongs to which entry?
A: K4ZnOs